Computed, not measured: Tl2IrPd after structural relaxation at the GGA-PBE level of DFT.

Results
Electronic total energy ... -4.1959 eV per atom

Lattice parameters (Å, degrees): 6.7876 6.7876 6.7876 90.00 90.00 90.00
Last column: nearest neighbours and their distance in Å.
Space group F-43m (No. 216)
Inequivalent atoms, fractional coordinates:
Tl 0.0000 0.0000 0.0000 (multiplicity 4)  4 Tl 2.94, 4 Ir 2.94
Tl 0.2500 0.2500 0.2500 (multiplicity 4)  4 Tl 2.94, 4 Pd 2.94
Ir 0.2500 0.2500 0.7500 (multiplicity 4)  4 Tl 2.94, 4 Pd 2.94
Pd 0.0000 0.0000 0.5000 (multiplicity 4)  4 Tl 2.94, 4 Ir 2.94



Computed, not measured: CoMo3 after structural relaxation at the GGA-PBE level of DFT.

Results
Energy relative to the elements ... 0.2086 eV per atom

Lattice parameters (Å, degrees): 6.1700 6.1700 6.1700 90.00 90.00 90.00
Last column: nearest neighbours and their distance in Å.
Space group Fm-3m (No. 225)
Inequivalent atoms, fractional coordinates:
Co 0.0000 0.0000 0.0000 (multiplicity 4)  8 Mo 2.67
Mo 0.0000 0.0000 0.5000 (multiplicity 4)  8 Mo 2.67
Mo 0.2500 0.2500 0.2500 (multiplicity 8)  4 Mo 2.67, 4 Co 2.67



Computed, not measured: Ta2NiTe7 after structural relaxation at the GGA-PBE level of DFT.

Results
Electronic total energy ... -5.4203 eV per atom

Lattice parameters (Å, degrees): 15.6666 3.7199 20.0895 90.00 109.08 90.00
Last column: nearest neighbours and their distance in Å.
Space group C2/m (No. 12)
Inequivalent atoms, fractional coordinates:
Ta 0.1490 0.0000 0.3970 (multiplicity 4)  8 Te 2.83-2.99
Ta 0.2309 0.0000 0.0953 (multiplicity 4)  6 Te 2.69-2.93
Ni 0.1910 0.5000 0.2031 (multiplicity 4)  5 Te 2.60-2.62
Te 0.0204 0.5000 0.4178 (multiplicity 4)  2 Ta 2.87, 1 Te 2.91
Te 0.0672 0.5000 0.2890 (multiplicity 4)  2 Ta 2.83, 1 Te 2.91, 1 Ni 2.99
Te 0.0816 0.0000 0.1335 (multiplicity 4)  2 Ni 2.60, 1 Ta 2.69
Te 0.1446 0.5000 0.9861 (multiplicity 4)  3 Ta 2.86-2.93
Te 0.1537 0.0000 0.8201 (multiplicity 4)  1 Ni 2.62, 2 Ta 2.76
Te 0.2043 0.0000 0.5542 (multiplicity 4)  3 Ta 2.87-2.99
Te 0.2459 0.5000 0.7022 (multiplicity 4)  2 Ni 2.61



Computed, not measured: TaPt2 after structural relaxation at the GGA-PBE level of DFT.

Results
Energy relative to the elements ... -0.2513 eV per atom

Lattice parameters (Å, degrees): 7.3579 7.3579 7.3579 90.00 90.00 90.00
Last column: nearest neighbours and their distance in Å.
Space group Fd-3m (No. 227, origin choice 2)
Inequivalent atoms, fractional coordinates:
Ta 0.1250 0.1250 0.1250 (multiplicity 8)  12 Pt 3.05, 4 Ta 3.19
Pt 0.0000 0.0000 0.5000 (multiplicity 16)  6 Pt 2.60



Computed, not measured: MgAlInPt after structural relaxation at the GGA-PBE level of DFT.

Results
Electronic total energy ... -3.8276 eV per atom

Lattice parameters (Å, degrees): 6.5741 6.5741 6.5741 90.00 90.00 90.00
Last column: nearest neighbours and their distance in Å.
Space group F-43m (No. 216)
Inequivalent atoms, fractional coordinates:
Mg 0.0000 0.0000 0.0000 (multiplicity 4)  4 Pt 2.85, 4 In 2.85
Al 0.0000 0.0000 0.5000 (multiplicity 4)  4 In 2.85, 4 Pt 2.85
In 0.2500 0.2500 0.7500 (multiplicity 4)  4 Mg 2.85, 4 Al 2.85
Pt 0.2500 0.2500 0.2500 (multiplicity 4)  4 Mg 2.85, 4 Al 2.85



Computed, not measured: NaPrHgTe3 after structural relaxation at the GGA-PBE level of DFT.

Results
Electronic total energy ... -3.5246 eV per atom

Lattice parameters (Å, degrees): 4.4826 14.9371 11.9785 90.00 90.00 90.00
Last column: nearest neighbours and their distance in Å.
Space group Cmcm (No. 63)
Inequivalent atoms, fractional coordinates:
Na 0.0000 0.2305 0.2500 (multiplicity 4)  6 Te 3.42-3.45, 2 Hg 3.73
Pr 0.0000 0.0000 0.0000 (multiplicity 4)  6 Te 3.22-3.31
Hg 0.0000 0.4687 0.7500 (multiplicity 4)  4 Te 2.84-2.92
Te 0.0000 0.0936 0.7500 (multiplicity 4)  2 Hg 2.92
Te 0.0000 0.3537 0.5614 (multiplicity 8)  1 Hg 2.84



Computed, not measured: Tb4NdIn5 after structural relaxation at the GGA-PBE level of DFT.

Results
Electronic total energy ... -4.1768 eV per atom

Lattice parameters (Å, degrees): 3.7811 3.7811 18.9951 90.00 90.00 90.00
Last column: nearest neighbours and their distance in Å.
Space group P4/mmm (No. 123)
Inequivalent atoms, fractional coordinates:
Tb 0.0000 0.0000 0.0984 (multiplicity 2)  8 In 3.26
Tb 0.0000 0.0000 0.2954 (multiplicity 2)  8 In 3.26
Nd 0.0000 0.0000 0.5000 (multiplicity 1)  8 In 3.35
In 0.5000 0.5000 0.0000 (multiplicity 1)  8 Tb 3.26
In 0.5000 0.5000 0.1967 (multiplicity 2)  8 Tb 3.26
In 0.5000 0.5000 0.3934 (multiplicity 2)  4 Tb 3.26, 4 Nd 3.35



Computed, not measured: Cu4Ag after structural relaxation at the GGA-PBE level of DFT.

Results
Energy relative to the elements ... 0.0694 eV per atom

Lattice parameters (Å, degrees): 8.8040 2.6983 11.1725 90.00 100.08 90.00
Last column: nearest neighbours and their distance in Å.
Space group C2/m (No. 12)
Inequivalent atoms, fractional coordinates:
Cu 0.0512 0.0000 0.3636 (multiplicity 4)  10 Cu 2.51-2.73, 2 Ag 2.71
Cu 0.1519 0.5000 0.5497 (multiplicity 4)  12 Cu 2.51-2.71
Cu 0.1577 0.0000 0.0544 (multiplicity 4)  7 Cu 2.58-2.83, 5 Ag 2.63-2.72
Cu 0.2453 0.5000 0.2623 (multiplicity 4)  9 Cu 2.53-2.73, 3 Ag 2.66-2.70
Ag 0.0494 0.5000 0.8451 (multiplicity 4)  10 Cu 2.63-2.72, 2 Ag 2.70



Computed, not measured: Dy2TmBiO6 after structural relaxation at the GGA-PBE level of DFT.

Results
Electronic total energy ... -7.5657 eV per atom

Lattice parameters (Å, degrees): 3.6054 5.8678 6.7362 88.64 80.18 87.64
Last column: nearest neighbours and their distance in Å.
Space group P-1 (No. 2)
Inequivalent atoms, fractional coordinates:
Dy 0.1844 0.0231 0.2408 (multiplicity 2)  5 O 2.20-2.34
Tm 0.5000 0.5000 0.5000 (multiplicity 1)  4 O 2.19-2.22
Bi 0.0000 0.5000 0.0000 (multiplicity 1)  6 O 2.28-2.50
O 0.0348 0.7530 0.4782 (multiplicity 2)  2 Tm 2.22-2.46, 2 Dy 2.24-2.34
O 0.2652 0.1389 0.8819 (multiplicity 2)  2 Dy 2.20, 1 Bi 2.39
O 0.4854 0.3602 0.2029 (multiplicity 2)  1 Tm 2.19, 1 Bi 2.28, 1 Dy 2.28



Computed, not measured: HfAlTlTe3 after structural relaxation at the GGA-PBE level of DFT.

Results
Electronic total energy ... -4.6231 eV per atom

Lattice parameters (Å, degrees): 3.9691 16.4333 10.6215 90.00 90.00 90.00
Last column: nearest neighbours and their distance in Å.
Space group Cmcm (No. 63)
Inequivalent atoms, fractional coordinates:
Hf 0.0000 0.0000 0.0000 (multiplicity 4)  6 Te 2.95-2.96
Al 0.0000 0.4649 0.2500 (multiplicity 4)  4 Te 2.68-2.73
Tl 0.0000 0.2423 0.7500 (multiplicity 4)  8 Te 3.48-3.77
Te 0.0000 0.0789 0.2500 (multiplicity 4)  2 Al 2.73, 2 Hf 2.96
Te 0.0000 0.3700 0.0446 (multiplicity 8)  1 Al 2.68, 2 Hf 2.95



Computed, not measured: SrSiMo after structural relaxation at the GGA-PBE level of DFT.

Results
Electronic total energy ... -5.2713 eV per atom

Lattice parameters (Å, degrees): 6.5900 6.5900 6.5900 90.00 90.00 90.00
Last column: nearest neighbours and their distance in Å.
Space group F-43m (No. 216)
Inequivalent atoms, fractional coordinates:
Sr 0.0000 0.0000 0.0000 (multiplicity 4)  4 Si 2.85
Si 0.2500 0.2500 0.7500 (multiplicity 4)  4 Mo 2.85, 4 Sr 2.85
Mo 0.0000 0.0000 0.5000 (multiplicity 4)  4 Si 2.85



Computed, not measured: NaSmSe2O7 after structural relaxation at the GGA-PBE level of DFT.

Results
Electronic total energy ... -5.9547 eV per atom

Lattice parameters (Å, degrees): 10.4813 6.9143 8.2029 90.00 90.86 90.00
Last column: nearest neighbours and their distance in Å.
Space group P2_1/c (No. 14)
Inequivalent atoms, fractional coordinates:
Na 0.0664 0.1320 0.3116 (multiplicity 4)  5 O 2.29-2.48
Sm 0.4155 0.6500 0.6934 (multiplicity 4)  8 O 2.38-2.58
Se 0.1567 0.6433 0.4533 (multiplicity 4)  4 O 1.65-1.69
Se 0.3224 0.1718 0.5591 (multiplicity 4)  3 O 1.70-1.76
O 0.0463 0.6853 0.9462 (multiplicity 4)  1 Se 1.66
O 0.1197 0.0288 0.8210 (multiplicity 4)  1 Se 1.65
O 0.1834 0.5619 0.6438 (multiplicity 4)  1 Se 1.68
O 0.3052 0.7300 0.4233 (multiplicity 4)  1 Se 1.69
O 0.3307 0.1189 0.3574 (multiplicity 4)  1 Se 1.70
O 0.4089 0.5053 0.1627 (multiplicity 4)  1 Se 1.74
O 0.4467 0.1578 0.0649 (multiplicity 4)  1 Se 1.76



Computed, not measured: ZnS after structural relaxation at the GGA-PBE level of DFT.

Results
Electronic total energy ... -3.5080 eV per atom

Lattice parameters (Å, degrees): 3.8363 3.8363 56.4010 90.00 90.00 120.00
Last column: nearest neighbours and their distance in Å.
Space group P3m1 (No. 156)
Inequivalent atoms, fractional coordinates:
Zn 0.0000 0.0000 0.0000 (multiplicity 1)  4 S 2.35
Zn 0.0000 0.0000 0.1667 (multiplicity 1)  4 S 2.35
Zn 0.0000 0.0000 0.2778 (multiplicity 1)  4 S 2.35
Zn 0.0000 0.0000 0.5000 (multiplicity 1)  4 S 2.35
Zn 0.0000 0.0000 0.6667 (multiplicity 1)  4 S 2.35
Zn 0.0000 0.0000 0.8333 (multiplicity 1)  4 S 2.35
Zn 0.3333 0.6667 0.0556 (multiplicity 1)  4 S 2.35
Zn 0.3333 0.6667 0.2222 (multiplicity 1)  4 S 2.35
Zn 0.3333 0.6667 0.3889 (multiplicity 1)  4 S 2.35
Zn 0.3333 0.6667 0.5556 (multiplicity 1)  4 S 2.35
Zn 0.3333 0.6667 0.7222 (multiplicity 1)  4 S 2.35
Zn 0.3333 0.6667 0.8889 (multiplicity 1)  4 S 2.35
Zn 0.6667 0.3333 0.1111 (multiplicity 1)  4 S 2.35
Zn 0.6667 0.3333 0.3333 (multiplicity 1)  4 S 2.35
Zn 0.6667 0.3333 0.4444 (multiplicity 1)  4 S 2.35
Zn 0.6667 0.3333 0.6111 (multiplicity 1)  4 S 2.35
Zn 0.6667 0.3333 0.7778 (multiplicity 1)  4 S 2.35
Zn 0.6667 0.3333 0.9444 (multiplicity 1)  4 S 2.35
S 0.0000 0.0000 0.0417 (multiplicity 1)  4 Zn 2.35
S 0.0000 0.0000 0.2083 (multiplicity 1)  4 Zn 2.35
S 0.0000 0.0000 0.3194 (multiplicity 1)  4 Zn 2.35
S 0.0000 0.0000 0.5417 (multiplicity 1)  4 Zn 2.35
S 0.0000 0.0000 0.7083 (multiplicity 1)  4 Zn 2.35
S 0.0000 0.0000 0.8750 (multiplicity 1)  4 Zn 2.35
S 0.3333 0.6667 0.0972 (multiplicity 1)  4 Zn 2.35
S 0.3333 0.6667 0.2639 (multiplicity 1)  4 Zn 2.35
S 0.3333 0.6667 0.4306 (multiplicity 1)  4 Zn 2.35
S 0.3333 0.6667 0.5972 (multiplicity 1)  4 Zn 2.35
S 0.3333 0.6667 0.7639 (multiplicity 1)  4 Zn 2.35
S 0.3333 0.6667 0.9305 (multiplicity 1)  4 Zn 2.35
S 0.6667 0.3333 0.1528 (multiplicity 1)  4 Zn 2.35
S 0.6667 0.3333 0.3750 (multiplicity 1)  4 Zn 2.35
S 0.6667 0.3333 0.4861 (multiplicity 1)  4 Zn 2.35
S 0.6667 0.3333 0.6528 (multiplicity 1)  4 Zn 2.35
S 0.6667 0.3333 0.8194 (multiplicity 1)  4 Zn 2.35
S 0.6667 0.3333 0.9861 (multiplicity 1)  4 Zn 2.35



Computed, not measured: YAuSO after structural relaxation at the GGA-PBE level of DFT.

Results
Electronic total energy ... -6.6519 eV per atom

Lattice parameters (Å, degrees): 5.6585 5.6526 10.7420 90.00 91.76 90.00
Last column: nearest neighbours and their distance in Å.
Space group P2_1 (No. 4)
Inequivalent atoms, fractional coordinates:
Y 0.0053 0.9996 0.0993 (multiplicity 2)  4 O 2.25-2.28
Y 0.4949 0.0000 0.9005 (multiplicity 2)  4 O 2.26-2.28
Au 0.0020 0.0197 0.7195 (multiplicity 2)  2 S 2.33-2.34
Au 0.3135 0.2731 0.5030 (multiplicity 2)  2 S 2.31
S 0.2919 0.2319 0.2887 (multiplicity 2)  2 Au 2.31-2.33
S 0.2977 0.3082 0.7171 (multiplicity 2)  2 Au 2.31-2.34
O 0.2486 0.2487 0.0014 (multiplicity 2)  4 Y 2.25-2.28
O 0.2515 0.7491 0.9997 (multiplicity 2)  4 Y 2.26-2.28



Computed, not measured: RbZnW after structural relaxation at the GGA-PBE level of DFT.

Results
Electronic total energy ... -3.0229 eV per atom

Lattice parameters (Å, degrees): 7.2729 7.2729 7.2729 90.00 90.00 90.00
Last column: nearest neighbours and their distance in Å.
Space group F-43m (No. 216)
Inequivalent atoms, fractional coordinates:
Rb 0.0000 0.0000 0.0000 (multiplicity 4)  4 Zn 3.15
Zn 0.2500 0.2500 0.2500 (multiplicity 4)  4 W 3.15, 4 Rb 3.15
W 0.0000 0.0000 0.5000 (multiplicity 4)  4 Zn 3.15



Computed, not measured: KAg3OsO4 after structural relaxation at the GGA-PBE level of DFT.

Results
Electronic total energy ... -4.6896 eV per atom

Lattice parameters (Å, degrees): 5.6820 5.6820 5.6820 90.00 90.00 90.00
Last column: nearest neighbours and their distance in Å.
Space group P-43m (No. 215)
Inequivalent atoms, fractional coordinates:
K 0.0000 0.0000 0.0000 (multiplicity 1)  4 O 2.97
Ag 0.0000 0.5000 0.5000 (multiplicity 3)  4 O 2.34
Os 0.5000 0.5000 0.5000 (multiplicity 1)  4 O 1.95
O 0.3023 0.3023 0.3023 (multiplicity 4)  1 Os 1.95



Computed, not measured: Al2CuTe4Au after structural relaxation at the GGA-PBE level of DFT.

Results
Electronic total energy ... -3.6993 eV per atom

Lattice parameters (Å, degrees): 6.1979 6.1979 12.2456 90.00 90.00 90.00
Last column: nearest neighbours and their distance in Å.
Space group I-4 (No. 82)
Inequivalent atoms, fractional coordinates:
Al 0.0000 0.0000 0.0000 (multiplicity 2)  4 Te 2.67
Al 0.0000 0.5000 0.2500 (multiplicity 2)  4 Te 2.66
Cu 0.0000 0.0000 0.5000 (multiplicity 2)  4 Te 2.61
Te 0.2390 0.7474 0.3799 (multiplicity 8)  1 Cu 2.61, 2 Al 2.66-2.67, 1 Au 2.76
Au 0.0000 0.5000 0.7500 (multiplicity 2)  4 Te 2.76



Computed, not measured: InBOs after structural relaxation at the GGA-PBE level of DFT.

Results
Electronic total energy ... -6.1790 eV per atom

Lattice parameters (Å, degrees): 5.5663 5.5663 5.5663 90.00 90.00 90.00
Last column: nearest neighbours and their distance in Å.
Space group F-43m (No. 216)
Inequivalent atoms, fractional coordinates:
In 0.0000 0.0000 0.0000 (multiplicity 4)  4 B 2.41
B 0.2500 0.2500 0.2500 (multiplicity 4)  4 Os 2.41, 4 In 2.41
Os 0.0000 0.0000 0.5000 (multiplicity 4)  4 B 2.41



Computed, not measured: Y3Ho3Bi2Os after structural relaxation at the GGA-PBE level of DFT.

Results
Electronic total energy ... -6.3586 eV per atom

Lattice parameters (Å, degrees): 8.3113 8.3113 4.2411 90.00 90.00 120.00
Last column: nearest neighbours and their distance in Å.
Space group P-62m (No. 189)
Inequivalent atoms, fractional coordinates:
Y 0.0000 0.7644 0.0000 (multiplicity 3)  2 Os 2.89
Ho 0.0000 0.3870 0.5000 (multiplicity 3)  1 Os 3.22, 4 Bi 3.34, 4 Y 3.52
Bi 0.3333 0.6667 0.0000 (multiplicity 2)  3 Y 3.25, 6 Ho 3.34
Os 0.0000 0.0000 0.5000 (multiplicity 1)  6 Y 2.89, 3 Ho 3.22



Computed, not measured: MgCuSiTc after structural relaxation at the GGA-PBE level of DFT.

Results
Electronic total energy ... -5.2824 eV per atom

Lattice parameters (Å, degrees): 6.0088 6.0088 6.0088 90.00 90.00 90.00
Last column: nearest neighbours and their distance in Å.
Space group F-43m (No. 216)
Inequivalent atoms, fractional coordinates:
Mg 0.0000 0.0000 0.0000 (multiplicity 4)  4 Tc 2.60, 4 Cu 2.60
Cu 0.2500 0.2500 0.7500 (multiplicity 4)  4 Mg 2.60, 4 Si 2.60
Si 0.0000 0.0000 0.5000 (multiplicity 4)  4 Tc 2.60, 4 Cu 2.60
Tc 0.2500 0.2500 0.2500 (multiplicity 4)  4 Si 2.60, 4 Mg 2.60